1.
{"formula": "Li2IrRu", "functional": "PBE-GGA", "state": "relaxed", "sg": "No. 139", "formation_enthalpy_0k_ev_per_atom": 0.132, "polymorph_energy_ev_per_atom": 0.179, "lattice_angstrom": [[-0.214, -4.218, 2.678], [-2.214, -4.020, -1.986], [3.436, 3.382, -1.330]], "species": ["Ir", "Li", "Li", "Ru"], "fractional_positions": [[0.750, 0.250, 0.500], [0.000, 0.000, 0.000], [0.500, 0.500, 0.000], [0.250, 0.750, 0.500]]}

2.
{"formula": "BaFeOs", "functional": "PBE-GGA", "state": "relaxed", "sg": "No. 2", "formation_enthalpy_0k_ev_per_atom": 0.403, "polymorph_energy_ev_per_atom": 0.057, "lattice_angstrom": [[-1.614, 0.924, -9.277], [3.455, -2.493, -0.685], [-3.475, -2.989, 0.406]], "species": ["Os", "Os", "Ba", "Ba", "Fe", "Fe"], "fractional_positions": [[0.445, 0.647, 0.611], [0.444, 0.106, 0.225], [0.160, 0.642, 0.168], [0.729, 0.111, 0.668], [0.368, 0.172, 0.755], [0.520, 0.581, 0.081]]}

3.
{"formula": "LaCoHg", "functional": "PBE-GGA", "state": "relaxed", "sg": "No. 187", "formation_enthalpy_0k_ev_per_atom": -0.065, "lattice_angstrom": [[-2.656, -3.246, -1.771], [0.328, 0.459, 4.517], [-3.062, 2.524, -0.034]], "species": ["Co", "Hg", "La"], "fractional_positions": [[0.000, 0.000, 0.167], [0.667, 0.333, 0.167], [0.333, 0.667, 0.667]]}

4.
{"formula": "ZnHPbN2", "functional": "PBE-GGA", "state": "relaxed", "sg": "No. 123", "e_tot_ha_per_atom": -0.1285, "lattice_angstrom": [[-0.756, 4.147, -0.428], [-2.697, -0.299, 1.874], [2.318, 0.780, 3.460]], "species": ["Pb", "H", "Zn", "N", "N"], "fractional_positions": [[0.500, 0.500, 0.500], [0.000, 0.000, 0.000], [0.000, 0.500, 0.000], [0.000, 0.000, 0.500], [0.500, 0.000, 0.000]]}

5.
{"formula": "SrLi2V", "functional": "PBE-GGA", "state": "relaxed", "sg": "No. 225", "formation_enthalpy_0k_ev_per_atom": 0.570, "polymorph_energy_ev_per_atom": 0.000, "lattice_angstrom": [[0.000, 3.712, 3.712], [3.712, 0.000, 3.712], [3.712, 3.712, 0.000]], "species": ["Sr", "V", "Li", "Li"], "fractional_positions": [[0.500, 0.500, 0.500], [0.000, 0.000, 0.000], [0.250, 0.250, 0.250], [0.750, 0.750, 0.750]]}

6.
{"formula": "LiRhAu2", "functional": "PBE-GGA", "state": "relaxed", "sg": "No. 65", "formation_enthalpy_0k_ev_per_atom": -0.259, "lattice_angstrom": [[-0.025, 1.622, 4.503], [-0.165, -4.738, 0.660], [2.815, -0.091, 0.049]], "species": ["Au", "Au", "Rh", "Li"], "fractional_positions": [[0.000, 0.000, 0.000], [0.500, 0.500, 0.000], [0.000, 0.500, 0.500], [0.500, 0.000, 0.500]]}

7.
{"formula": "ScAg2Mo", "functional": "PBE-GGA", "state": "relaxed", "sg": "No. 44", "formation_enthalpy_0k_ev_per_atom": 0.309, "polymorph_energy_ev_per_atom": 0.165, "lattice_angstrom": [[-5.706, 0.451, 0.295], [-2.640, -1.662, 4.808], [3.640, 3.476, -2.742]], "species": ["Ag", "Ag", "Mo", "Sc"], "fractional_positions": [[0.995, 0.995, 0.000], [0.751, 0.251, 0.500], [0.499, 0.499, 0.000], [0.255, 0.755, 0.500]]}

8.
{"formula": "YAl2Sb", "functional": "PBE-GGA", "state": "relaxed", "sg": "No. 166", "e_form_raw_kcal_per_mol_atoms": 0.7, "lattice_angstrom": [[9.760, 0.125, 0.074], [9.131, 3.448, 0.074], [9.131, 1.727, 2.985]], "species": ["Y", "Sb", "Al", "Al"], "fractional_positions": [[0.750, 0.750, 0.750], [0.250, 0.250, 0.250], [0.996, 0.996, 0.996], [0.504, 0.504, 0.504]]}

9.
{"formula": "Ac2GaSe", "functional": "PBE-GGA", "state": "relaxed", "sg": "No. 123", "polymorph_energy_ev_per_atom": 0.175, "e_form_raw_kcal_per_mol_atoms": -23.3, "lattice_angstrom": [[3.793, 0.000, 0.000], [0.000, 3.793, 0.000], [0.000, 0.000, 8.260]], "species": ["Ac", "Ac", "Ga", "Se"], "fractional_positions": [[0.000, 0.000, 0.748], [0.000, 0.000, 0.252], [0.500, 0.500, 0.000], [0.500, 0.500, 0.500]]}

10.
{"formula": "Ho4In3Pb", "functional": "PBE-GGA", "state": "relaxed", "sg": "No. 51", "formation_enthalpy_0k_ev_per_atom": -0.426, "lattice_angstrom": [[5.536, 0.000, 0.000], [0.000, 7.095, 0.000], [0.000, 0.000, 10.869]], "species": ["Pb", "Pb", "Ho", "Ho", "Ho", "Ho", "Ho", "Ho", "Ho", "Ho", "In", "In", "In", "In", "In", "In"], "fractional_positions": [[0.000, 0.500, 0.000], [0.000, 0.500, 0.500], [0.500, 0.753, 0.000], [0.500, 0.753, 0.500], [0.500, 0.247, 0.000], [0.500, 0.247, 0.500], [0.082, 0.752, 0.750], [0.918, 0.752, 0.250], [0.918, 0.248, 0.250], [0.082, 0.248, 0.750], [0.000, 0.000, 0.000], [0.000, 0.000, 0.500], [0.591, 0.000, 0.750], [0.409, 0.000, 0.250], [0.585, 0.500, 0.750], [0.415, 0.500, 0.250]]}

11.
{"formula": "Pr4CS2F", "functional": "PBE-GGA", "state": "relaxed", "sg": "No. 10", "e_form_raw_kcal_per_mol_atoms": -38.3, "lattice_angstrom": [[-0.276, 3.463, 1.810], [-2.060, -3.169, 5.751], [6.851, 0.480, 0.127]], "species": ["Pr", "Pr", "Pr", "Pr", "C", "S", "S", "F"], "fractional_positions": [[0.500, 0.268, 0.235], [0.500, 0.732, 0.765], [0.000, 0.275, 0.781], [0.000, 0.725, 0.219], [0.500, 0.500, 0.000], [0.500, 0.000, 0.500], [0.000, 0.500, 0.500], [0.000, 0.000, 0.000]]}

12.
{"formula": "Tb7Sm3Dy", "functional": "PBE-GGA", "state": "relaxed", "sg": "No. 156", "formation_enthalpy_0k_ev_per_atom": 0.178, "polymorph_energy_ev_per_atom": 0.039, "lattice_angstrom": [[-1.835, -7.642, 3.642], [4.313, -3.230, -4.604], [2.538, 2.341, 6.190]], "species": ["Tb", "Tb", "Tb", "Tb", "Tb", "Tb", "Tb", "Sm", "Sm", "Sm", "Dy"], "fractional_positions": [[0.119, 0.168, 0.832], [0.119, 0.168, 0.335], [0.122, 0.667, 0.333], [0.448, 0.832, 0.168], [0.448, 0.335, 0.168], [0.448, 0.832, 0.665], [0.119, 0.665, 0.832], [0.783, 0.500, 0.500], [0.783, 0.500, 0.000], [0.783, 0.000, 0.500], [0.445, 0.333, 0.667]]}

13.
{"formula": "Ac5PrNdSm2", "functional": "PBE-GGA", "state": "relaxed", "sg": "No. 36", "formation_enthalpy_0k_ev_per_atom": 0.145, "lattice_angstrom": [[-3.073, 5.123, -0.547], [-1.781, -5.622, -9.747], [-9.061, -4.953, 4.513]], "species": ["Ac", "Ac", "Ac", "Ac", "Ac", "Ac", "Ac", "Ac", "Ac", "Ac", "Pr", "Pr", "Nd", "Nd", "Sm", "Sm", "Sm", "Sm"], "fractional_positions": [[0.375, 0.750, 0.020], [0.724, 0.449, 0.822], [0.487, 0.973, 0.746], [0.298, 0.597, 0.704], [0.990, 0.980, 0.512], [0.625, 0.250, 0.520], [0.276, 0.551, 0.322], [0.513, 0.027, 0.246], [0.702, 0.403, 0.204], [0.010, 0.020, 0.012], [0.594, 0.188, 0.963], [0.406, 0.812, 0.463], [0.808, 0.617, 0.514], [0.192, 0.383, 0.014], [0.887, 0.773, 0.800], [0.116, 0.232, 0.744], [0.113, 0.227, 0.300], [0.884, 0.768, 0.244]]}

14.
{"formula": "Ta5Al", "functional": "PBE-GGA", "state": "relaxed", "sg": "No. 65", "formation_enthalpy_0k_ev_per_atom": -0.065, "polymorph_energy_ev_per_atom": 0.000, "lattice_angstrom": [[3.459, 0.000, 0.000], [0.000, 4.298, -1.435], [0.000, 0.016, 7.200]], "species": ["Ta", "Ta", "Ta", "Ta", "Ta", "Al"], "fractional_positions": [[0.000, 0.661, 0.322], [0.000, 0.339, 0.678], [0.500, 0.500, 0.000], [0.500, 0.169, 0.337], [0.500, 0.831, 0.663], [0.000, 0.000, 0.000]]}

15.
{"formula": "AcPrDy2", "functional": "PBE-GGA", "state": "relaxed", "sg": "No. 166", "formation_enthalpy_0k_ev_per_atom": 0.040, "polymorph_energy_ev_per_atom": 0.000, "lattice_angstrom": [[3.728, 0.000, 0.000], [1.864, 3.228, 0.000], [1.864, 1.076, 11.814]], "species": ["Pr", "Ac", "Dy", "Dy"], "fractional_positions": [[0.000, 0.000, 0.000], [0.500, 0.500, 0.500], [0.748, 0.748, 0.755], [0.252, 0.252, 0.245]]}

16.
{"formula": "PuNpAs", "functional": "PBE-GGA", "state": "relaxed", "sg": "No. 107", "formation_enthalpy_0k_ev_per_atom": -0.345, "polymorph_energy_ev_per_atom": 0.000, "lattice_angstrom": [[3.523, 0.000, 0.000], [0.000, 3.523, 0.000], [-1.761, -1.761, 4.607]], "species": ["Np", "As", "Pu"], "fractional_positions": [[0.977, 0.977, 0.954], [0.667, 0.667, 0.334], [0.356, 0.356, 0.712]]}

17.
{"formula": "AlVSn2Ge", "functional": "PBE-GGA", "state": "relaxed", "sg": "No. 123", "formation_enthalpy_0k_ev_per_atom": 0.573, "lattice_angstrom": [[-0.212, 0.348, 5.105], [-4.811, -0.624, -0.157], [0.645, -5.067, 0.373]], "species": ["Ge", "Al", "Sn", "Sn", "V"], "fractional_positions": [[0.500, 0.500, 0.500], [0.000, 0.500, 0.000], [0.000, 0.000, 0.500], [0.500, 0.000, 0.000], [0.000, 0.000, 0.000]]}

18.
{"formula": "Cs2RbH6Pt", "functional": "PBE-GGA", "state": "relaxed", "sg": "No. 164", "e_tot_ha_per_atom": -0.1180, "lattice_angstrom": [[-1.262, -0.953, 7.149], [-0.508, -6.275, -0.926], [5.664, 2.570, 1.342]], "species": ["Cs", "Cs", "Rb", "H", "H", "H", "H", "H", "H", "Pt"], "fractional_positions": [[0.153, 0.333, 0.667], [0.847, 0.667, 0.333], [0.500, 0.000, 0.000], [0.868, 0.123, 0.245], [0.868, 0.123, 0.877], [0.868, 0.755, 0.877], [0.132, 0.877, 0.123], [0.132, 0.245, 0.123], [0.132, 0.877, 0.755], [0.000, 0.000, 0.000]]}

These records have V values of 55.6 182.0 71.2 59.2 102.3 63.2 73.1 94.7 118.8 426.9 175.7 376.8 743.0 107.1 142.2 57.2 127.3 256.7 Å³ per cell, in the order they appear.